VASP calculation (PBE with a Hubbard U) on crystalline Eu2MgAg2W4O16 at its relaxed geometry.

The structure in POSCAR format:
```
Eu2MgAg2W4O16
1.0
7.295 -0.033 -0.036
3.022 6.862 -0.032
3.169 2.399 7.412
O W Ag Mg Eu
16 4 2 1 2
direct
0.593 0.109 0.682 O
0.661 0.008 0.022 O
0.007 0.673 0.134 O
0.320 0.373 0.897 O
0.993 0.327 0.866 O
0.432 0.298 0.211 O
0.307 0.448 0.545 O
0.769 0.936 0.347 O
0.680 0.627 0.103 O
0.339 0.992 0.978 O
0.939 0.764 0.781 O
0.693 0.552 0.455 O
0.568 0.702 0.789 O
0.231 0.064 0.653 O
0.061 0.236 0.219 O
0.407 0.891 0.318 O
0.738 0.775 0.254 W
0.262 0.225 0.746 W
0.346 0.157 0.136 W
0.654 0.843 0.864 W
0.262 0.658 0.240 Ag
0.738 0.342 0.760 Ag
0.000 0.500 0.000 Mg
0.679 0.276 0.358 Eu
0.321 0.724 0.642 Eu
```

theoretical density: 6837 kg/m³
DOS(E_F): 1.0807 states/eV per atom
magnetic moment: 14.000 μB per cell
energy above the most stable polymorph in this dataset: 0 meV per atom
crystal system: triclinic
total energy: -186.63 eV per cell
calculated volume: 372.9 Å³ per cell